Record 1
Entry from the Alexandria database: crystalline LiPmMgSn at its relaxed geometry (GGA-PBE).

The value obtained for the formation energy is -0.324 eV per atom.

a b c (Å): 7.2639 7.2639 7.2639
angles (deg): 90.00 90.00 90.00
Space group F-43m (No. 216)
Inequivalent atoms, fractional coordinates:
Li  0.0000  0.0000  0.0000 [4 per cell]
Pm  0.2500  0.2500  0.2500 [4 per cell]
Mg  0.2500  0.2500  0.7500 [4 per cell]
Sn  0.0000  0.0000  0.5000 [4 per cell]

***

Record 2
Entry from the Alexandria database: crystalline Li2PmMg2Sn2 at its relaxed geometry (GGA-PBE).

The value obtained for the formation energy is -0.451 eV per atom.

a b c (Å): 4.7071 4.7071 24.9396
angles (deg): 90.00 90.00 120.00
Space group R-3m (No. 166, hexagonal axes)
Inequivalent atoms, fractional coordinates:
Li  0.0000  0.0000  0.0753 [6 per cell]
Pm  0.0000  0.0000  0.5000 [3 per cell]
Mg  0.0000  0.0000  0.3643 [6 per cell]
Sn  0.0000  0.0000  0.2425 [6 per cell]

***

Record 3
Entry from the Alexandria database: crystalline Li3Pm2MgSn4 at its relaxed geometry (GGA-PBE).

The value obtained for the formation energy is -0.523 eV per atom.

a b c (Å): 4.4180 4.4180 11.9278
angles (deg): 90.00 90.00 90.00
Space group P-4m2 (No. 115)
Inequivalent atoms, fractional coordinates:
Li  0.0000  0.0000  0.0000 [1 per cell]
Li  0.0000  0.5000  0.6336 [2 per cell]
Pm  0.0000  0.5000  0.2643 [2 per cell]
Mg  0.5000  0.5000  0.0000 [1 per cell]
Sn  0.0000  0.0000  0.5000 [1 per cell]
Sn  0.0000  0.5000  0.8470 [2 per cell]
Sn  0.5000  0.5000  0.5000 [1 per cell]

***

Record 4
Entry from the Alexandria database: crystalline Li2PmMgSn2 at its relaxed geometry (GGA-PBE).

The value obtained for the formation energy is -0.513 eV per atom.

a b c (Å): 4.6893 4.6893 7.0940
angles (deg): 90.00 90.00 120.00
Space group P-3m1 (No. 164)
Inequivalent atoms, fractional coordinates:
Li  0.3333  0.6667  0.1752 [2 per cell]
Pm  0.0000  0.0000  0.5000 [1 per cell]
Mg  0.0000  0.0000  0.0000 [1 per cell]
Sn  0.3333  0.6667  0.7508 [2 per cell]

***

Record 5
Entry from the Alexandria database: crystalline LiPmMgSn2 at its relaxed geometry (GGA-PBE).

The value obtained for the formation energy is -0.460 eV per atom.

a b c (Å): 4.4360 4.4360 12.6198
angles (deg): 90.00 90.00 90.00
Space group I-4m2 (No. 119)
Inequivalent atoms, fractional coordinates:
Li  0.0000  0.0000  0.0000 [2 per cell]
Pm  0.0000  0.5000  0.7500 [2 per cell]
Mg  0.0000  0.0000  0.5000 [2 per cell]
Sn  0.0000  0.5000  0.1386 [4 per cell]

***

Record 6
Entry from the Alexandria database: crystalline SrLiPmMg at its relaxed geometry (GGA-PBE).

The value obtained for the formation energy is 0.062 eV per atom.

a b c (Å): 8.0210 8.0210 8.0210
angles (deg): 90.00 90.00 90.00
Space group F-43m (No. 216)
Inequivalent atoms, fractional coordinates:
Sr  0.0000  0.0000  0.0000 [4 per cell]
Li  0.2500  0.2500  0.7500 [4 per cell]
Pm  0.0000  0.0000  0.5000 [4 per cell]
Mg  0.2500  0.2500  0.2500 [4 per cell]

***

Record 7
Entry from the Alexandria database: crystalline Li2Tb2PmMg5 at its relaxed geometry (GGA-PBE).

The value obtained for the formation energy is -0.024 eV per atom.

a b c (Å): 10.6527 10.6527 4.4246
angles (deg): 90.00 90.00 90.00
Space group P4/mbm (No. 127)
Inequivalent atoms, fractional coordinates:
Li  0.1138  0.3862  0.0000 [4 per cell]
Tb  0.1802  0.6802  0.0000 [4 per cell]
Pm  0.0000  0.0000  0.0000 [2 per cell]
Mg  0.0000  0.5000  0.5000 [2 per cell]
Mg  0.0626  0.2165  0.5000 [8 per cell]

***

Record 8
Entry from the Alexandria database: crystalline LiPmMgTe3 at its relaxed geometry (GGA-PBE).

The value obtained for the formation energy without anion corrections is -1103 meV per atom.

a b c (Å): 8.6428 4.2841 9.4858
angles (deg): 90.00 104.36 90.00
Space group P2_1/m (No. 11)
Inequivalent atoms, fractional coordinates:
Li  0.0900  0.2500  0.0908 [2 per cell]
Pm  0.1928  0.2500  0.7398 [2 per cell]
Mg  0.3322  0.7500  0.3348 [2 per cell]
Te  0.0928  0.2500  0.3755 [2 per cell]
Te  0.2431  0.7500  0.0063 [2 per cell]
Te  0.4251  0.7500  0.6512 [2 per cell]